1.
Compound: Sr2MnBi
Source: the Alexandria database
Functional: PBE-GGA
Structure: optimized geometry

a b c (Å): 11.5061 11.5061 8.5325
angles (deg): 47.60 47.60 90.00
Closest atoms and distances in Å follow each position.
Fractional positions:
Sr (0.4537, 0.1250, 0.2500)  2 Mn 3.08
Sr (0.2963, 0.6250, 0.2500)  2 Mn 3.08
Sr (0.3750, 0.5463, 0.7500)  2 Mn 3.08
Sr (0.8750, 0.7037, 0.7500)  2 Mn 3.08
Mn (0.5000, 0.5000, 0.0000)  2 Bi 2.57
Mn (0.2500, 0.7500, 0.5000)  2 Bi 2.57
Bi (0.0000, 0.0000, 0.0000)  2 Mn 2.57
Bi (0.7500, 0.2500, 0.5000)  2 Mn 2.57

Properties
As for the space group: I-42d, No. 122. For the size of the total moment, the calculation gives 2.19 μB per formula unit. The calculation puts the formation energy from the elements at 0.19 eV per atom.

***

2.
Compound: SrMn2Bi
Source: the Alexandria database
Functional: PBE-GGA
Structure: optimized geometry

a b c (Å): 5.0017 5.0017 10.2956
angles (deg): 75.94 75.94 90.00
Closest atoms and distances in Å follow each position.
Fractional positions:
Sr (0.5000, 0.5000, 0.0000)  4 Bi 3.54, 8 Mn 3.69-3.70
Sr (0.2500, 0.7500, 0.5000)  4 Bi 3.54, 8 Mn 3.69-3.70
Mn (0.8739, 0.1250, 0.2500)  2 Mn 2.50, 2 Bi 2.72
Mn (0.8761, 0.6250, 0.2500)  2 Mn 2.50, 2 Bi 2.72
Mn (0.3750, 0.1261, 0.7500)  2 Mn 2.50, 2 Bi 2.72
Mn (0.8750, 0.1239, 0.7500)  2 Mn 2.50, 2 Bi 2.72
Bi (0.0000, 0.0000, 0.0000)  4 Mn 2.72
Bi (0.7500, 0.2500, 0.5000)  4 Mn 2.72

Properties
As for the space group: I-42d, No. 122. For the size of the total moment, the calculation gives 6.87 μB per formula unit. The calculation puts the formation energy from the elements at 0.43 eV per atom.

***

3.
Compound: SrMn3Bi
Source: the Alexandria database
Functional: PBE-GGA
Structure: optimized geometry

a b c (Å): 5.1639 5.1639 5.1639
angles (deg): 90.00 90.00 90.00
Closest atoms and distances in Å follow each position.
Fractional positions:
Sr (0.0000, 0.0000, 0.0000)  6 Mn 2.58
Mn (0.0000, 0.5000, 0.0000)  2 Sr 2.58
Mn (0.0000, 0.0000, 0.5000)  2 Sr 2.58
Mn (0.5000, 0.0000, 0.0000)  2 Sr 2.58
Bi (0.5000, 0.5000, 0.5000)  12 Mn 3.65

Properties
The excess energy over the best structure of this formula in the dataset comes out at 880 meV per atom. As for the space group: Pm-3m, No. 221. For the size of the total moment, the calculation gives 11.62 μB per formula unit. The calculation puts the formation energy from the elements at 1.77 eV per atom.

***

4.
Compound: TaMnBi3
Source: the Alexandria database
Functional: PBE-GGA
Structure: optimized geometry

a b c (Å): 5.4720 5.4720 5.4720
angles (deg): 90.00 90.00 90.00
Closest atoms and distances in Å follow each position.
Fractional positions:
Mn (0.5000, 0.5000, 0.5000)  12 Bi 3.87
Bi (0.0000, 0.5000, 0.0000)  2 Ta 2.74
Bi (0.0000, 0.0000, 0.5000)  2 Ta 2.74
Bi (0.5000, 0.0000, 0.0000)  2 Ta 2.74
Ta (0.0000, 0.0000, 0.0000)  6 Bi 2.74

Properties
The excess energy over the best structure of this formula in the dataset comes out at 343 meV per atom. As for the space group: Pm-3m, No. 221. For the size of the total moment, the calculation gives 0.60 μB per formula unit. The calculation puts the formation energy from the elements at 1.47 eV per atom.

***

5.
Compound: TaMnBi2
Source: the Alexandria database
Functional: PBE-GGA
Structure: optimized geometry

a b c (Å): 6.5674 6.5674 7.8447
angles (deg): 65.25 65.25 90.00
Closest atoms and distances in Å follow each position.
Fractional positions:
Mn (0.5000, 0.5000, 0.0000)  4 Bi 2.81
Mn (0.2500, 0.7500, 0.5000)  4 Bi 2.81
Bi (0.6264, 0.1250, 0.2500)  2 Ta 2.80, 2 Mn 2.81
Bi (0.1236, 0.6250, 0.2500)  2 Ta 2.80, 2 Mn 2.81
Bi (0.3750, 0.3736, 0.7500)  2 Ta 2.80, 2 Mn 2.81
Bi (0.8750, 0.8764, 0.7500)  2 Ta 2.80, 2 Mn 2.81
Ta (0.0000, 0.0000, 0.0000)  4 Bi 2.80
Ta (0.7500, 0.2500, 0.5000)  4 Bi 2.80

Properties
The excess energy over the best structure of this formula in the dataset comes out at 138 meV per atom. As for the space group: I-42d, No. 122. For the size of the total moment, the calculation gives 5.92 μB per formula unit. The calculation puts the formation energy from the elements at 1.01 eV per atom.

***

6.
Compound: TaMnBi2
Source: the Alexandria database
Functional: PBE-GGA
Structure: optimized geometry

a b c (Å): 4.8737 4.8737 4.8737
angles (deg): 60.00 60.00 60.00
Closest atoms and distances in Å follow each position.
Fractional positions:
Mn (0.0000, 0.0000, 0.0000)  8 Bi 2.98
Bi (0.2500, 0.2500, 0.2500)  4 Mn 2.98, 4 Ta 2.98
Bi (0.7500, 0.7500, 0.7500)  4 Ta 2.98, 4 Mn 2.98
Ta (0.5000, 0.5000, 0.5000)  8 Bi 2.98

Properties
The excess energy over the best structure of this formula in the dataset comes out at 0 meV per atom. As for the space group: Fm-3m, No. 225. For the size of the total moment, the calculation gives 0.00 μB per formula unit. The calculation puts the formation energy from the elements at 0.87 eV per atom.

***

7.
Compound: TaMnBi3
Source: the Alexandria database
Functional: PBE-GGA
Structure: optimized geometry

a b c (Å): 5.1861 5.1861 5.1861
angles (deg): 90.00 90.00 90.00
Closest atoms and distances in Å follow each position.
Fractional positions:
Mn (0.0000, 0.0000, 0.0000)  6 Bi 2.59
Bi (0.0000, 0.5000, 0.0000)  2 Mn 2.59
Bi (0.0000, 0.0000, 0.5000)  2 Mn 2.59
Bi (0.5000, 0.0000, 0.0000)  2 Mn 2.59
Ta (0.5000, 0.5000, 0.5000)  12 Bi 3.67

Properties
The excess energy over the best structure of this formula in the dataset comes out at 0 meV per atom. As for the space group: Pm-3m, No. 221. For the size of the total moment, the calculation gives 5.52 μB per formula unit. The calculation puts the formation energy from the elements at 1.13 eV per atom.

***

8.
Compound: Ta3MnBi
Source: the Alexandria database
Functional: PBE-GGA
Structure: optimized geometry

a b c (Å): 4.6846 4.6846 4.6846
angles (deg): 90.00 90.00 90.00
Closest atoms and distances in Å follow each position.
Fractional positions:
Mn (0.0000, 0.0000, 0.0000)  6 Ta 2.34
Bi (0.5000, 0.5000, 0.5000)  12 Ta 3.31
Ta (0.0000, 0.5000, 0.0000)  2 Mn 2.34
Ta (0.0000, 0.0000, 0.5000)  2 Mn 2.34
Ta (0.5000, 0.0000, 0.0000)  2 Mn 2.34

Properties
The excess energy over the best structure of this formula in the dataset comes out at 0 meV per atom. As for the space group: Pm-3m, No. 221. For the size of the total moment, the calculation gives 0.00 μB per formula unit. The calculation puts the formation energy from the elements at 0.71 eV per atom.

***

9.
Compound: TaMnZnBi2
Source: the Alexandria database
Functional: PBE-GGA
Structure: optimized geometry

a b c (Å): 5.4729 5.1054 5.4729
angles (deg): 90.00 90.00 90.00
Closest atoms and distances in Å follow each position.
Fractional positions:
Zn (0.0000, 0.5000, 0.0000)  2 Ta 2.55
Mn (0.5000, 0.5000, 0.5000)  8 Bi 3.74, 4 Zn 3.87
Bi (0.0000, 0.0000, 0.5000)  2 Ta 2.74
Bi (0.5000, 0.0000, 0.0000)  2 Ta 2.74
Ta (0.0000, 0.0000, 0.0000)  2 Zn 2.55, 4 Bi 2.74

Properties
As for the space group: P4/mmm, No. 123. For the size of the total moment, the calculation gives 5.16 μB per formula unit. The calculation puts the formation energy from the elements at 0.92 eV per atom.

***

10.
Compound: MnTc3Bi
Source: the Alexandria database
Functional: PBE-GGA
Structure: optimized geometry

a b c (Å): 4.5075 4.5075 4.5075
angles (deg): 90.00 90.00 90.00
Closest atoms and distances in Å follow each position.
Fractional positions:
Mn (0.0000, 0.0000, 0.0000)  6 Tc 2.25
Bi (0.5000, 0.5000, 0.5000)  12 Tc 3.19
Tc (0.0000, 0.5000, 0.0000)  2 Mn 2.25
Tc (0.0000, 0.0000, 0.5000)  2 Mn 2.25
Tc (0.5000, 0.0000, 0.0000)  2 Mn 2.25

Properties
The excess energy over the best structure of this formula in the dataset comes out at 0 meV per atom. As for the space group: Pm-3m, No. 221. For the size of the total moment, the calculation gives 0.95 μB per formula unit. The calculation puts the formation energy from the elements at 1.09 eV per atom.

***

11.
Compound: Mn3TcBi
Source: the Alexandria database
Functional: PBE-GGA
Structure: optimized geometry

a b c (Å): 4.6846 4.6846 4.6846
angles (deg): 90.00 90.00 90.00
Closest atoms and distances in Å follow each position.
Fractional positions:
Mn (0.0000, 0.5000, 0.0000)  2 Tc 2.34
Mn (0.0000, 0.0000, 0.5000)  2 Tc 2.34
Mn (0.5000, 0.0000, 0.0000)  2 Tc 2.34
Bi (0.5000, 0.5000, 0.5000)  12 Mn 3.31
Tc (0.0000, 0.0000, 0.0000)  6 Mn 2.34

Properties
The excess energy over the best structure of this formula in the dataset comes out at 0 meV per atom. As for the space group: Pm-3m, No. 221. For the size of the total moment, the calculation gives 9.01 μB per formula unit. The calculation puts the formation energy from the elements at 0.99 eV per atom.

***

12.
Compound: MnTc2Bi
Source: the Alexandria database
Functional: PBE-GGA
Structure: optimized geometry

a b c (Å): 5.9383 5.9383 6.5826
angles (deg): 63.19 63.19 90.00
Closest atoms and distances in Å follow each position.
Fractional positions:
Mn (0.5000, 0.5000, 0.0000)  4 Tc 2.23
Mn (0.2500, 0.7500, 0.5000)  4 Tc 2.23
Bi (0.0000, 0.0000, 0.0000)  4 Tc 2.71
Bi (0.7500, 0.2500, 0.5000)  4 Tc 2.71
Tc (0.5582, 0.1250, 0.2500)  2 Mn 2.23
Tc (0.1918, 0.6250, 0.2500)  2 Mn 2.23
Tc (0.3750, 0.4418, 0.7500)  2 Mn 2.23
Tc (0.8750, 0.8082, 0.7500)  2 Mn 2.23

Properties
As for the space group: I-42d, No. 122. For the size of the total moment, the calculation gives 0.00 μB per formula unit. The calculation puts the formation energy from the elements at 1.21 eV per atom.